# 1
The following is a SCAN calculation of a PBEsol-optimized structure of BaBiAuSe2, from Alexandria.

Summary:
ΔE_f (raw) ... -0.74 eV per atom
Magnetic moment ... 0.0 Bohr magnetons per cell
DOS at the Fermi energy ... 0.250 states/eV/atom

Geometry as CIF:
```
data_BaBiAuSe2
_chemical_formula_sum 'Ba1 Bi1 Au1 Se2'
_space_group_name_H-M_alt 'P 4/m m m'
_space_group_IT_number 123
_space_group_name_Hall '-P 4 2'
_cell_length_a 5.5733
_cell_length_b 5.5733
_cell_length_c 5.2314
_cell_angle_alpha 90.00
_cell_angle_beta 90.00
_cell_angle_gamma 90.00
loop_
_atom_site_label
_atom_site_fract_x
_atom_site_fract_y
_atom_site_fract_z
Ba1 0.0000 0.0000 0.0000
Bi1 0.5000 0.5000 0.5000
Au1 0.5000 0.5000 0.0000
Se1 0.0000 0.5000 0.5000
```



# 2
The following is a SCAN calculation of a PBEsol-optimized structure of K2CuSi4O10, from Alexandria.

Summary:
ΔE_f (raw) ... -2.66 eV per atom
Magnetic moment ... 4.0 Bohr magnetons per cell
DOS at the Fermi energy ... 0.000 states/eV/atom

Geometry as CIF:
```
data_K2CuSi4O10
_chemical_formula_sum 'K8 Cu4 Si16 O40'
_space_group_name_H-M_alt 'P 1 21/m 1'
_space_group_IT_number 11
_space_group_name_Hall '-P 2yb'
_cell_length_a 11.0613
_cell_length_b 8.2654
_cell_length_c 11.3022
_cell_angle_alpha 90.00
_cell_angle_beta 111.04
_cell_angle_gamma 90.00
loop_
_atom_site_label
_atom_site_fract_x
_atom_site_fract_y
_atom_site_fract_z
K1 0.0214 0.2500 0.4558
K2 0.0580 0.7500 0.9412
K3 0.4173 0.2500 0.4127
K4 0.4595 0.7500 0.9703
Cu1 0.2114 0.5051 0.7866
Si1 0.0948 0.5560 0.2613
Si2 0.2462 0.0588 0.0870
Si3 0.2724 0.5574 0.5363
Si4 0.4864 0.0647 0.7511
O1 0.0310 0.5457 0.7505
O2 0.0758 0.7500 0.2744
O3 0.1388 0.5245 0.1387
O4 0.1737 0.5119 0.6052
O5 0.2040 0.2500 0.0634
O6 0.2184 0.0038 0.3878
O7 0.2501 0.5355 0.9661
O8 0.3095 0.7500 0.5396
O9 0.3872 0.0566 0.2056
O10 0.3943 0.0270 0.8286
O11 0.4148 0.0340 0.5968
O12 0.4562 0.7500 0.2297
```



# 3
The following is a SCAN calculation of a PBEsol-optimized structure of ZrCrOs2, from Alexandria.

Summary:
Magnetic moment ... 0.0 Bohr magnetons per cell
Electronic total energy ... -48.3665 eV/atom
DOS at the Fermi energy ... 0.816 states/eV/atom

Geometry as CIF:
```
data_ZrCrOs2
_chemical_formula_sum 'Zr1 Cr1 Os2'
_space_group_name_H-M_alt 'P 4/m m m'
_space_group_IT_number 123
_space_group_name_Hall '-P 4 2'
_cell_length_a 2.9193
_cell_length_b 2.9193
_cell_length_c 7.0081
_cell_angle_alpha 90.00
_cell_angle_beta 90.00
_cell_angle_gamma 90.00
loop_
_atom_site_label
_atom_site_fract_x
_atom_site_fract_y
_atom_site_fract_z
Zr1 0.0000 0.0000 0.0000
Cr1 0.0000 0.0000 0.5000
Os1 0.5000 0.5000 0.2922
```



# 4
The following is a SCAN calculation of a PBEsol-optimized structure of Cu2NiRu, from Alexandria.

Summary:
ΔE to the lowest computed polymorph ... 0 meV/atom
Magnetic moment ... 0.0 Bohr magnetons per cell
DOS at the Fermi energy ... 0.731 states/eV/atom

Geometry as CIF:
```
data_Cu2NiRu
_chemical_formula_sum 'Cu6 Ni3 Ru3'
_space_group_name_H-M_alt 'R 3 m'
_space_group_IT_number 160
_space_group_name_Hall 'R 3 -2"'
_cell_length_a 2.5682
_cell_length_b 2.5682
_cell_length_c 24.6972
_cell_angle_alpha 90.00
_cell_angle_beta 90.00
_cell_angle_gamma 120.00
loop_
_atom_site_label
_atom_site_fract_x
_atom_site_fract_y
_atom_site_fract_z
Cu1 0.0000 0.0000 0.0000
Cu2 0.0000 0.0000 0.2511
Ni1 0.0000 0.0000 0.7480
Ru1 0.0000 0.0000 0.4963
```



# 5
The following is a SCAN calculation of a PBEsol-optimized structure of CaCd2Hg, from Alexandria.

Summary:
Magnetic moment ... 0.0 Bohr magnetons per cell
Electronic total energy ... -34.9959 eV/atom
DOS at the Fermi energy ... 0.407 states/eV/atom

Geometry as CIF:
```
data_CaCd2Hg
_chemical_formula_sum 'Ca1 Cd2 Hg1'
_space_group_name_H-M_alt 'P 1 2/m 1'
_space_group_IT_number 10
_space_group_name_Hall '-P 2y'
_cell_length_a 3.3985
_cell_length_b 4.9632
_cell_length_c 5.7465
_cell_angle_alpha 90.00
_cell_angle_beta 94.92
_cell_angle_gamma 90.00
loop_
_atom_site_label
_atom_site_fract_x
_atom_site_fract_y
_atom_site_fract_z
Ca1 0.0000 0.0000 0.0000
Cd1 0.4511 0.5000 0.7502
Hg1 0.5000 0.0000 0.5000
```



# 6
The following is a SCAN calculation of a PBEsol-optimized structure of InTeOF2, from Alexandria.

Summary:
ΔE_f (raw) ... -1.16 eV per atom
Magnetic moment ... 0.0 Bohr magnetons per cell
DOS at the Fermi energy ... 0.244 states/eV/atom

Geometry as CIF:
```
data_InTeOF2
_chemical_formula_sum 'In1 Te1 O1 F2'
_space_group_name_H-M_alt 'P 4/m m m'
_space_group_IT_number 123
_space_group_name_Hall '-P 4 2'
_cell_length_a 4.7149
_cell_length_b 4.7149
_cell_length_c 4.1081
_cell_angle_alpha 90.00
_cell_angle_beta 90.00
_cell_angle_gamma 90.00
loop_
_atom_site_label
_atom_site_fract_x
_atom_site_fract_y
_atom_site_fract_z
In1 0.0000 0.0000 0.0000
Te1 0.5000 0.5000 0.5000
O1 0.5000 0.5000 0.0000
F1 0.0000 0.5000 0.5000
```



# 7
The following is a SCAN calculation of a PBEsol-optimized structure of Na2LaInSb, from Alexandria.

Summary:
ΔE_f (raw) ... 0.56 eV per atom
Magnetic moment ... 0.7 Bohr magnetons per cell
DOS at the Fermi energy ... 0.666 states/eV/atom

Geometry as CIF:
```
data_Na2LaInSb
_chemical_formula_sum 'Na2 La1 In1 Sb1'
_space_group_name_H-M_alt 'P 4/m m m'
_space_group_IT_number 123
_space_group_name_Hall '-P 4 2'
_cell_length_a 6.3892
_cell_length_b 6.3892
_cell_length_c 5.8990
_cell_angle_alpha 90.00
_cell_angle_beta 90.00
_cell_angle_gamma 90.00
loop_
_atom_site_label
_atom_site_fract_x
_atom_site_fract_y
_atom_site_fract_z
Na1 0.0000 0.5000 0.0000
La1 0.0000 0.0000 0.0000
In1 0.5000 0.5000 0.5000
Sb1 0.0000 0.0000 0.5000
```



# 8
The following is a SCAN calculation of a PBEsol-optimized structure of TaTe4Rh, from Alexandria.

Summary:
ΔE_f (raw) ... -0.45 eV per atom
Magnetic moment ... 0.0 Bohr magnetons per cell
DOS at the Fermi energy ... 0.137 states/eV/atom

Geometry as CIF:
```
data_TaTe4Rh
_chemical_formula_sum 'Ta4 Te16 Rh4'
_space_group_name_H-M_alt 'P m n 21'
_space_group_IT_number 31
_space_group_name_Hall 'P 2ac -2'
_cell_length_a 3.7305
_cell_length_b 12.5316
_cell_length_c 12.9918
_cell_angle_alpha 90.00
_cell_angle_beta 90.00
_cell_angle_gamma 90.00
loop_
_atom_site_label
_atom_site_fract_x
_atom_site_fract_y
_atom_site_fract_z
Ta1 0.0000 0.0548 0.0000
Ta2 0.0000 0.2695 0.4868
Te1 0.0000 0.0668 0.3857
Te2 0.0000 0.1926 0.8451
Te3 0.0000 0.3470 0.0891
Te4 0.0000 0.4125 0.6371
Te5 0.0000 0.5655 0.3917
Te6 0.0000 0.6756 0.8398
Te7 0.0000 0.8514 0.1042
Te8 0.0000 0.8902 0.6464
Rh1 0.0000 0.5364 0.9954
Rh2 0.0000 0.7548 0.4862
```